Entry 1:
A plane-wave DFT calculation with PBE was carried out for CsInPd after structural relaxation.

## Properties
formation energy = -0.179 eV/atom
total magnetization = 0.0 Bohr magnetons per cell
DOS(E_F) = 0.501 states/eV/atom

a = 13.7892 Å, b = 13.7892 Å, c = 4.0626 Å
α = 90.00°, β = 90.00°, γ = 163.90°
Sites, in units of the cell vectors:
Cs: 0.1625 0.8375 0.7500
Cs: 0.8375 0.1625 0.2500
In: 0.4556 0.5444 0.2500
In: 0.5444 0.4556 0.7500
Pd: 0.0400 0.9600 0.2500
Pd: 0.9600 0.0400 0.7500

Entry 2:
A plane-wave DFT calculation with PBE was carried out for CsInPd3 after structural relaxation.

## Properties
formation energy = 1.150 eV/atom
total magnetization = 0.0 Bohr magnetons per cell
DOS(E_F) = 0.288 states/eV/atom

a = 5.3244 Å, b = 5.3244 Å, c = 5.3244 Å
α = 90.00°, β = 90.00°, γ = 90.00°
Sites, in units of the cell vectors:
Cs: 0.0000 0.0000 0.0000
In: 0.5000 0.5000 0.5000
Pd: 0.0000 0.0000 0.5000
Pd: 0.0000 0.5000 0.0000
Pd: 0.5000 0.0000 0.0000

Entry 3:
A plane-wave DFT calculation with PBE was carried out for Cs2InPd after structural relaxation.

## Properties
formation energy = -0.062 eV/atom
total magnetization = 0.0 Bohr magnetons per cell
DOS(E_F) = 0.774 states/eV/atom

a = 9.7133 Å, b = 9.7133 Å, c = 9.7133 Å
α = 94.17°, β = 94.17°, γ = 148.71°
Sites, in units of the cell vectors:
Cs: 0.3750 0.1996 0.3246
Cs: 0.8004 0.1250 0.1754
Cs: 0.8750 0.0504 0.6754
Cs: 0.9496 0.6250 0.8246
In: 0.2500 0.7500 0.5000
In: 0.5000 0.5000 0.0000
Pd: 0.0000 0.0000 0.0000
Pd: 0.7500 0.2500 0.5000

Entry 4:
A plane-wave DFT calculation with PBE was carried out for CsInPd2 after structural relaxation.

## Properties
formation energy = 0.136 eV/atom
total magnetization = 0.0 Bohr magnetons per cell
DOS(E_F) = 0.055 states/eV/atom

a = 6.7825 Å, b = 6.7825 Å, c = 6.7825 Å
α = 106.92°, β = 106.92°, γ = 114.71°
Sites, in units of the cell vectors:
Cs: 0.0000 0.0000 0.0000
Cs: 0.7500 0.2500 0.5000
In: 0.2500 0.7500 0.5000
In: 0.5000 0.5000 0.0000
Pd: 0.2012 0.6250 0.0762
Pd: 0.3750 0.4512 0.5762
Pd: 0.5488 0.1250 0.9238
Pd: 0.8750 0.7988 0.4238

Entry 5:
A plane-wave DFT calculation with PBE was carried out for CsInPd after structural relaxation.

## Properties
formation energy = -0.153 eV/atom
total magnetization = 0.0 Bohr magnetons per cell
DOS(E_F) = 0.358 states/eV/atom

a = 4.6420 Å, b = 4.6420 Å, c = 5.9023 Å
α = 90.00°, β = 90.00°, γ = 120.00°
Sites, in units of the cell vectors:
Cs: 0.0000 0.0000 0.0000
In: 0.6667 0.3333 0.5000
Pd: 0.3333 0.6667 0.5000

Entry 6:
A plane-wave DFT calculation with PBE was carried out for CsIn6Pd after structural relaxation.

## Properties
formation energy = -0.193 eV/atom
total magnetization = 0.0 Bohr magnetons per cell
DOS(E_F) = 0.543 states/eV/atom

a = 4.9310 Å, b = 4.9310 Å, c = 9.4721 Å
α = 90.00°, β = 90.00°, γ = 90.00°
Sites, in units of the cell vectors:
Cs: 0.0000 0.0000 0.0000
In: 0.0000 0.5000 0.3423
In: 0.0000 0.5000 0.6577
In: 0.5000 0.0000 0.3423
In: 0.5000 0.0000 0.6577
In: 0.5000 0.5000 0.1569
In: 0.5000 0.5000 0.8431
Pd: 0.0000 0.0000 0.5000

Entry 7:
A plane-wave DFT calculation with PBE was carried out for CsInPd after structural relaxation.

## Properties
formation energy = -0.243 eV/atom
total magnetization = 0.0 Bohr magnetons per cell
DOS(E_F) = 0.690 states/eV/atom

a = 5.1146 Å, b = 5.1146 Å, c = 8.3845 Å
α = 90.00°, β = 90.00°, γ = 90.00°
Sites, in units of the cell vectors:
Cs: 0.2500 0.2500 0.1694
Cs: 0.7500 0.7500 0.8306
In: 0.2500 0.2500 0.6118
In: 0.7500 0.7500 0.3882
Pd: 0.2500 0.7500 0.5000
Pd: 0.7500 0.2500 0.5000

Entry 8:
A plane-wave DFT calculation with PBE was carried out for CsInPd3 after structural relaxation.

## Properties
formation energy = 0.248 eV/atom
total magnetization = 0.0 Bohr magnetons per cell
DOS(E_F) = 0.487 states/eV/atom

a = 5.1833 Å, b = 5.1833 Å, c = 5.1833 Å
α = 90.00°, β = 90.00°, γ = 90.00°
Sites, in units of the cell vectors:
Cs: 0.0000 0.0000 0.0000
In: 0.5000 0.5000 0.5000
Pd: 0.0000 0.5000 0.5000
Pd: 0.5000 0.0000 0.5000
Pd: 0.5000 0.5000 0.0000

Entry 9:
A plane-wave DFT calculation with PBE was carried out for CsInPd after structural relaxation.

## Properties
formation energy = -0.157 eV/atom
total magnetization = 0.0 Bohr magnetons per cell
DOS(E_F) = 0.574 states/eV/atom

a = 7.2356 Å, b = 7.2356 Å, c = 7.2356 Å
α = 149.39°, β = 149.39°, γ = 43.84°
Sites, in units of the cell vectors:
Cs: 0.0000 0.0000 0.0000
In: 0.7308 0.7308 0.0000
Pd: 0.2583 0.2583 0.0000

Entry 10:
A plane-wave DFT calculation with PBE was carried out for Cs2InPd after structural relaxation.

## Properties
formation energy = 0.339 eV/atom
total magnetization = 0.0 Bohr magnetons per cell
DOS(E_F) = 1.010 states/eV/atom

a = 6.1640 Å, b = 6.1640 Å, c = 6.1640 Å
α = 60.00°, β = 60.00°, γ = 60.00°
Sites, in units of the cell vectors:
Cs: 0.2500 0.2500 0.2500
Cs: 0.7500 0.7500 0.7500
In: 0.0000 0.0000 0.0000
Pd: 0.5000 0.5000 0.5000

Entry 11:
A plane-wave DFT calculation with PBE was carried out for CsIn2SnPd after structural relaxation.

## Properties
formation energy = -0.087 eV/atom
total magnetization = 0.0 Bohr magnetons per cell
DOS(E_F) = 0.830 states/eV/atom

a = 5.3884 Å, b = 5.3884 Å, c = 5.4446 Å
α = 90.00°, β = 90.00°, γ = 90.00°
Sites, in units of the cell vectors:
Cs: 0.0000 0.0000 0.0000
In: 0.0000 0.5000 0.5000
In: 0.5000 0.0000 0.5000
Sn: 0.5000 0.5000 0.0000
Pd: 0.5000 0.5000 0.5000

Entry 12:
A plane-wave DFT calculation with PBE was carried out for CsSrIn2Pd after structural relaxation.

## Properties
formation energy = -0.232 eV/atom
total magnetization = 0.0 Bohr magnetons per cell
DOS(E_F) = 0.680 states/eV/atom

a = 5.4211 Å, b = 5.4211 Å, c = 5.8306 Å
α = 90.00°, β = 90.00°, γ = 90.00°
Sites, in units of the cell vectors:
Cs: 0.0000 0.0000 0.0000
Sr: 0.5000 0.5000 0.0000
In: 0.0000 0.5000 0.5000
In: 0.5000 0.0000 0.5000
Pd: 0.5000 0.5000 0.5000